# PBE Tm6Ir5Au, relaxed
data_Tm6Ir5Au
_symmetry_space_group_name_H-M 'I m m m'
_symmetry_Int_Tables_number 71
_symmetry_space_group_name_Hall '-I 2 2'
_cell_length_a 4.867
_cell_length_b 6.683
_cell_length_c 14.602
_cell_angle_alpha 90.00
_cell_angle_beta 90.00
_cell_angle_gamma 90.00
loop_
_atom_site_label
_atom_site_type_symbol
_atom_site_fract_x
_atom_site_fract_y
_atom_site_fract_z
_atom_site_occupancy
Tm1 Tm 0.000 0.244 0.000 1
Tm2 Tm 0.000 0.253 0.330 1
Ir1 Ir 0.000 0.000 0.166 1
Ir2 Ir 0.000 0.500 0.166 1
Ir3 Ir 0.000 0.500 0.500 1
Au1 Au 0.000 0.000 0.500 1
# - ΔH_f (0 K) (eV per atom) = -0.9125
# - calculated total energy (eV per atom) = -7.1134
# - crystal system = orthorhombic